Material: MgZn2TeO6
Method: DFT, PBE
State: relaxed

a = 10.7784 Å, b = 8.9484 Å, c = 5.8301 Å
α = 90.00°, β = 109.82°, γ = 90.00°
With the nearest neighbours (Å) after each atom.
Space group C2/c (No. 15)
Symmetry-distinct sites (fractional):
1 Mg 0.0000 0.0950 0.2500 (multiplicity 4)  4 O 2.00-2.10
2 Zn 0.2028 0.4231 0.1434 (multiplicity 8)  4 O 1.96-2.04
3 Te 0.0000 0.2558 0.7500 (multiplicity 4)  6 O 1.93-2.01
4 O 0.0820 0.2509 0.1000 (multiplicity 8)  1 Te 1.93, 1 Zn 1.98, 1 Mg 2.00
5 O 0.1069 0.0871 0.6839 (multiplicity 8)  1 Zn 1.96, 1 Te 2.01, 1 Mg 2.10
6 O 0.1388 0.4024 0.7735 (multiplicity 8)  1 Te 1.96, 2 Zn 1.96-2.04

Properties
Formation energy (no corrections) ... -1511 meV per atom
Calculated total energy ... -5.2144 eV per atom